Record 1
HfTiCo2 PBE-GGA relaxed; DOS(E_F) = 4.58 states/eV per cell; total magnetic moment = 0.0 μB/cell; formation enthalpy at 0 K = -0.408 eV per atom; energy above the most stable polymorph in this dataset = 0.000 eV per atom
1.0
5.1895 0.0000 0.0000
0.0000 4.1316 0.0000
-2.2901 0.0000 5.4077
Hf Ti Co
2 2 4
direct
0.1808 0.2500 0.3975
0.8192 0.7500 0.6025
0.3609 0.7500 0.1041
0.6391 0.2500 0.8959
0.1145 0.2500 0.8823
0.3581 0.7500 0.7059
0.6419 0.2500 0.2941
0.8855 0.7500 0.1177

***

Record 2
Sr2TmSe3 PBE-GGA relaxed; formation energy without anion corrections = -1904 meV per atom; DOS(E_F) = 5.15 states/eV per cell; total magnetic moment = 0.0 μB/cell
1.0
0.0000 6.0584 12.7935
4.2952 0.0000 12.7935
4.2952 6.0584 0.0000
Sr Tm Se
8 4 12
direct
0.0437 0.0437 0.2063
0.1229 0.1229 0.6271
0.2063 0.2063 0.0437
0.3729 0.3729 0.8771
0.6271 0.6271 0.1229
0.7937 0.7937 0.9563
0.8771 0.8771 0.3729
0.9563 0.9563 0.7937
0.2915 0.2915 0.4585
0.4585 0.4585 0.2915
0.5415 0.5415 0.7085
0.7085 0.7085 0.5415
0.0376 0.5382 0.2323
0.1468 0.6032 0.6032
0.2323 0.6918 0.0376
0.3082 0.7677 0.4618
0.3968 0.8532 0.8532
0.4618 0.9624 0.3082
0.5382 0.0376 0.6918
0.6032 0.1468 0.1468
0.6918 0.2323 0.5382
0.7677 0.3082 0.9624
0.8532 0.3968 0.3968
0.9624 0.4618 0.7677

***

Record 3
CrGa2HPt PBE-GGA relaxed; DFT total energy = -5.12 eV/atom; DOS(E_F) = 1.68 states/eV per cell; total magnetic moment = 2.5 μB/cell
1.0
4.1315 0.0000 0.0000
0.0000 4.1315 0.0000
0.0000 0.0000 3.5933
Cr Ga H Pt
1 2 1 1
direct
0.0000 0.0000 0.0000
0.0000 0.5000 0.5000
0.5000 0.0000 0.5000
0.0000 0.0000 0.5000
0.5000 0.5000 0.0000

***

Record 4
NpAl5Ru6 PBE-GGA relaxed; DOS(E_F) = 8.21 states/eV per cell; total magnetic moment = 1.0 μB/cell; formation enthalpy at 0 K = -0.607 eV per atom
1.0
2.1681 -6.4548 0.0000
2.1681 6.4548 0.0000
0.0000 0.0000 6.1837
Np Al Ru
1 5 6
direct
0.0000 0.0000 0.0000
0.0000 0.0000 0.5000
0.3271 0.6729 0.0000
0.3319 0.6681 0.5000
0.6681 0.3319 0.5000
0.6729 0.3271 0.0000
0.1668 0.8332 0.2524
0.1668 0.8332 0.7476
0.5000 0.5000 0.2582
0.5000 0.5000 0.7418
0.8332 0.1668 0.2524
0.8332 0.1668 0.7476

***

Record 5
ZrAs2Ir PBE-GGA relaxed; DOS(E_F) = 2.31 states/eV per cell; total magnetic moment = 0.0 μB/cell; formation enthalpy at 0 K = -0.435 eV per atom; energy above the most stable polymorph in this dataset = 0.129 eV per atom
1.0
2.9635 0.0000 0.0000
0.0000 4.5678 0.0000
-1.4620 0.0000 5.3396
Zr As Ir
1 2 1
direct
0.0000 0.0000 0.0000
0.2691 0.0000 0.5364
0.5859 0.5000 0.1721
0.3566 0.5000 0.7096

***

Record 6
CeTh12In3 PBE-GGA relaxed; DOS(E_F) = 21.83 states/eV per cell; total magnetic moment = 0.0 μB/cell; formation enthalpy at 0 K = -0.090 eV per atom
1.0
4.9437 0.0000 0.0000
0.0000 4.9437 0.0000
0.0000 0.0000 20.0940
Ce Th In
1 12 3
direct
0.0000 0.0000 0.0000
0.0000 0.5000 0.1285
0.0000 0.5000 0.3768
0.0000 0.5000 0.6232
0.0000 0.5000 0.8715
0.5000 0.0000 0.1285
0.5000 0.0000 0.3768
0.5000 0.0000 0.6232
0.5000 0.0000 0.8715
0.5000 0.5000 0.0000
0.5000 0.5000 0.2506
0.5000 0.5000 0.5000
0.5000 0.5000 0.7494
0.0000 0.0000 0.2529
0.0000 0.0000 0.5000
0.0000 0.0000 0.7471

***

Record 7
MnFeCo4 PBE-GGA relaxed; DOS(E_F) = 31.35 states/eV per cell; total magnetic moment = 23.1 μB/cell; formation enthalpy at 0 K = 0.104 eV per atom; energy above the most stable polymorph in this dataset = 0.011 eV per atom
1.0
6.7959 0.0000 0.0000
0.0000 2.4592 0.0000
0.0000 0.0000 15.6718
Mn Fe Co
4 4 16
direct
0.2492 0.2500 0.0598
0.2508 0.7500 0.5598
0.7492 0.2500 0.4402
0.7508 0.7500 0.9402
0.2440 0.7500 0.3128
0.2560 0.2500 0.8128
0.7440 0.7500 0.1872
0.7560 0.2500 0.6872
0.0572 0.2500 0.9348
0.0703 0.2500 0.1944
0.0993 0.2500 0.4416
0.1042 0.2500 0.6767
0.3958 0.7500 0.1767
0.4007 0.7500 0.9416
0.4297 0.7500 0.6944
0.4428 0.7500 0.4348
0.5572 0.2500 0.5652
0.5703 0.2500 0.3056
0.5993 0.2500 0.0584
0.6042 0.2500 0.8233
0.8958 0.7500 0.3233
0.9007 0.7500 0.5584
0.9297 0.7500 0.8056
0.9428 0.7500 0.0652

***

Record 8
MgTlCo2Cl8 PBE-GGA relaxed; formation energy without anion corrections = -925 meV per atom; DOS(E_F) = 12.75 states/eV per cell; total magnetic moment = 7.0 μB/cell
1.0
3.1529 1.8203 9.2640
-3.1529 1.8203 9.2640
0.0000 -3.6406 9.2640
Mg Tl Co Cl
1 1 2 8
direct
0.0000 0.0000 0.0000
0.5000 0.5000 0.5000
0.2559 0.2559 0.2559
0.7441 0.7441 0.7441
0.0544 0.3783 0.7293
0.1773 0.1773 0.1773
0.2707 0.9456 0.6217
0.3783 0.7293 0.0544
0.6217 0.2707 0.9456
0.7293 0.0544 0.3783
0.8227 0.8227 0.8227
0.9456 0.6217 0.2707